VO3: relaxed, GGA+U.

Cell lengths 5.482, 8.931, 7.972 Å; angles 90.00, 111.10, 90.00 degrees
Site moments in Bohr magnetons follow the coordinates.
Positions (direct):
1 V 0.475 0.460 0.176  -0.02
2 V 0.525 0.960 0.824  -0.02
3 V 0.525 0.540 0.824  -0.02
4 V 0.475 0.040 0.176  -0.02
5 V 0.943 0.250 0.056  0.01
6 V 0.057 0.750 0.944  0.01
7 O 0.663 0.400 0.022  0.01
8 O 0.337 0.900 0.978  0.01
9 O 0.337 0.600 0.978  0.01
10 O 0.663 0.100 0.022  0.01
11 O 0.175 0.395 0.190  0.01
12 O 0.825 0.895 0.810  0.01
13 O 0.825 0.605 0.810  0.01
14 O 0.175 0.105 0.190  0.01
15 O 0.635 0.250 0.294  0.23
16 O 0.365 0.750 0.706  0.23
17 O 0.981 0.250 0.866  0.00
18 O 0.019 0.750 0.134  0.00
19 O 0.631 0.563 0.344  0.00
20 O 0.369 0.063 0.656  0.00
21 O 0.369 0.437 0.656  0.00
22 O 0.631 0.937 0.344  0.00
23 O 0.748 0.250 0.471  0.57
24 O 0.252 0.750 0.529  0.57

Properties
The calculation puts the electronic total energy at -167.73 eV/cell. As for the symmetry: P2_1/m, No. 11. The value obtained for the density is 2.707 g/cm3.